The following is a PBE+U calculation of a relaxed structure of Fe2Br3F, from Alexandria via LeMat-Bulk.

## Properties
The crystal system is monoclinic. The value obtained for the density of states at the Fermi level is 0.000 states/eV per cell. The calculation puts the raw total energy at -4.15 eV per atom.

Structure (POSCAR):
```
Fe2Br3F
1.0
3.779 0.000 0.000
-1.890 8.325 -3.049
0.000 0.353 10.314
Fe Br F
4 6 2
direct
0.083 0.166 0.773
0.917 0.834 0.227
0.411 0.821 0.539
0.589 0.179 0.461
0.927 0.853 0.729
0.073 0.147 0.271
0.368 0.735 0.061
0.632 0.265 0.939
0.181 0.362 0.622
0.819 0.638 0.378
0.538 0.075 0.621
0.462 0.925 0.379
```